VASP calculation (PBEsol) on a relaxed LiTlW3 crystal.

The structure in CIF format:
```
data_LiTlW3
_cell_length_a 4.9672
_cell_length_b 4.9672
_cell_length_c 4.9672
_cell_angle_alpha 90.00
_cell_angle_beta 90.00
_cell_angle_gamma 90.00
_space_group_name_H-M_alt 'P m -3 m'
_space_group_IT_number 221
_space_group_name_Hall '-P 4 2 3'
loop_
_atom_site_label
_atom_site_type_symbol
_atom_site_fract_x
_atom_site_fract_y
_atom_site_fract_z
Li1 Li 0.0000 0.0000 0.0000
Tl1 Tl 0.5000 0.5000 0.5000
W1 W 0.0000 0.5000 0.5000
```

Values from the calculation:
energy relative to the elements: 16.37 eV/f.u.
crystal system: cubic
E_tot: -5.93 eV per atom